Record 1
A plane-wave DFT calculation with PBE was carried out for a relaxed Sc2TcAs crystal.

DFT formation energy = -0.356 eV per atom
Magnetic moment = 0.00 Bohr magnetons per cell
Electronic total energy = -7.275 eV/atom
DOS at the Fermi energy = 0.312 states/eV/atom

Geometry as CIF:
```
data_Sc2TcAs
_chemical_formula_sum 'Sc8 Tc4 As4'
_cell_length_a 6.452
_cell_length_b 6.452
_cell_length_c 6.452
_cell_angle_alpha 90.00
_cell_angle_beta 90.00
_cell_angle_gamma 90.00
_space_group_name_H-M_alt 'F -4 3 m'
_space_group_IT_number 216
_space_group_name_Hall 'F -4 2 3'
loop_
_atom_site_label
_atom_site_type_symbol
_atom_site_fract_x
_atom_site_fract_y
_atom_site_fract_z
_atom_site_occupancy
Sc1 Sc 0.000 0.000 0.000 1
Sc2 Sc 0.250 0.250 0.250 1
Tc1 Tc 0.250 0.250 0.750 1
As1 As 0.000 0.000 0.500 1
```

Record 2
A plane-wave DFT calculation with PBE was carried out for a relaxed Pm2Cd3Hg2 crystal.

DFT formation energy = -0.344 eV per atom
Relative energy among the computed polymorphs = 0 meV/atom
Magnetic moment = 0.00 Bohr magnetons per cell
Electronic total energy = -2.180 eV/atom
DOS at the Fermi energy = 0.664 states/eV/atom

Geometry as CIF:
```
data_Pm2Cd3Hg2
_chemical_formula_sum 'Pm4 Cd6 Hg4'
_cell_length_a 10.667
_cell_length_b 4.811
_cell_length_c 7.360
_cell_angle_alpha 90.00
_cell_angle_beta 109.43
_cell_angle_gamma 90.00
_space_group_name_H-M_alt 'C 1 2/m 1'
_space_group_IT_number 12
loop_
_space_group_symop_operation_xyz
'x,y,z'
'-x,-y,-z'
'-x,y,-z'
'x,-y,z'
'x+1/2,y+1/2,z'
'-x+1/2,-y+1/2,-z'
'-x+1/2,y+1/2,-z'
'x+1/2,-y+1/2,z'
loop_
_atom_site_label
_atom_site_type_symbol
_atom_site_fract_x
_atom_site_fract_y
_atom_site_fract_z
_atom_site_occupancy
Pm1 Pm 0.142 0.000 0.268 1
Cd1 Cd 0.000 0.500 0.500 1
Cd2 Cd 0.107 0.500 0.926 1
Hg1 Hg 0.162 0.000 0.711 1
```

Record 3
A plane-wave DFT calculation with PBE was carried out for a relaxed Pm8Hg2Os crystal.

DFT formation energy = -0.193 eV per atom
Relative energy among the computed polymorphs = 0 meV/atom
Magnetic moment = 0.00 Bohr magnetons per cell
Electronic total energy = -4.724 eV/atom
DOS at the Fermi energy = 0.942 states/eV/atom

Geometry as CIF:
```
data_Pm8Hg2Os
_chemical_formula_sum 'Pm16 Hg4 Os2'
_cell_length_a 18.185
_cell_length_b 5.315
_cell_length_c 7.044
_cell_angle_alpha 90.00
_cell_angle_beta 105.83
_cell_angle_gamma 90.00
_space_group_name_H-M_alt 'C 1 2/m 1'
_space_group_IT_number 12
loop_
_space_group_symop_operation_xyz
'x,y,z'
'-x,-y,-z'
'-x,y,-z'
'x,-y,z'
'x+1/2,y+1/2,z'
'-x+1/2,-y+1/2,-z'
'-x+1/2,y+1/2,-z'
'x+1/2,-y+1/2,z'
loop_
_atom_site_label
_atom_site_type_symbol
_atom_site_fract_x
_atom_site_fract_y
_atom_site_fract_z
_atom_site_occupancy
Pm1 Pm 0.022 0.000 0.289 1
Pm2 Pm 0.088 0.500 0.930 1
Pm3 Pm 0.153 0.500 0.461 1
Pm4 Pm 0.200 0.000 0.805 1
Hg1 Hg 0.186 0.000 0.225 1
Os1 Os 0.000 0.500 0.500 1
```

Record 4
A plane-wave DFT calculation with PBE was carried out for a relaxed NpCo4Hg crystal.

DFT formation energy = 0.036 eV per atom
Magnetic moment = 4.49 Bohr magnetons per cell
Electronic total energy = -6.908 eV/atom
DOS at the Fermi energy = 1.027 states/eV/atom

Geometry as CIF:
```
data_NpCo4Hg
_chemical_formula_sum 'Np4 Co16 Hg4'
_cell_length_a 7.029
_cell_length_b 7.029
_cell_length_c 7.029
_cell_angle_alpha 90.00
_cell_angle_beta 90.00
_cell_angle_gamma 90.00
_space_group_name_H-M_alt 'F -4 3 m'
_space_group_IT_number 216
_space_group_name_Hall 'F -4 2 3'
loop_
_atom_site_label
_atom_site_type_symbol
_atom_site_fract_x
_atom_site_fract_y
_atom_site_fract_z
_atom_site_occupancy
Np1 Np 0.000 0.000 0.000 1
Co1 Co 0.125 0.125 0.625 1
Hg1 Hg 0.250 0.250 0.250 1
```

Record 5
A plane-wave DFT calculation with PBE was carried out for a relaxed RbPbI2Br crystal.

Relative energy among the computed polymorphs = 26 meV/atom
Magnetic moment = 0.00 Bohr magnetons per cell
Electronic total energy = -2.921 eV/atom
Formation energy from raw total energies = -1.03 eV per atom
DOS at the Fermi energy = 0.000 states/eV/atom

Geometry as CIF:
```
data_RbPbI2Br
_chemical_formula_sum 'Rb1 Pb1 I2 Br1'
_cell_length_a 6.386
_cell_length_b 6.386
_cell_length_c 5.946
_cell_angle_alpha 90.00
_cell_angle_beta 90.00
_cell_angle_gamma 90.00
_space_group_name_H-M_alt 'P 4/m m m'
_space_group_IT_number 123
_space_group_name_Hall '-P 4 2'
loop_
_atom_site_label
_atom_site_type_symbol
_atom_site_fract_x
_atom_site_fract_y
_atom_site_fract_z
_atom_site_occupancy
Rb1 Rb 0.000 0.000 0.000 1
Pb1 Pb 0.500 0.500 0.500 1
I1 I 0.000 0.500 0.500 1
Br1 Br 0.500 0.500 0.000 1
```

Record 6
A plane-wave DFT calculation with PBE was carried out for a relaxed Tb5Pm2HoEr crystal.

DFT formation energy = 0.280 eV per atom
Magnetic moment = 0.00 Bohr magnetons per cell
Electronic total energy = -4.364 eV/atom
DOS at the Fermi energy = 1.390 states/eV/atom

Geometry as CIF:
```
data_Tb5Pm2HoEr
_chemical_formula_sum 'Tb20 Pm8 Ho4 Er4'
_cell_length_a 8.576
_cell_length_b 8.576
_cell_length_c 15.901
_cell_angle_alpha 90.00
_cell_angle_beta 90.00
_cell_angle_gamma 90.00
_space_group_name_H-M_alt 'I 4/m c m'
_space_group_IT_number 140
_space_group_name_Hall '-I 4 2c'
loop_
_atom_site_label
_atom_site_type_symbol
_atom_site_fract_x
_atom_site_fract_y
_atom_site_fract_z
_atom_site_occupancy
Tb1 Tb 0.000 0.000 0.000 1
Tb2 Tb 0.213 0.287 0.141 1
Pm1 Pm 0.119 0.381 0.500 1
Ho1 Ho 0.000 0.000 0.250 1
Er1 Er 0.000 0.500 0.250 1
```

Record 7
A plane-wave DFT calculation with PBE was carried out for a relaxed Sr2CdBi crystal.

DFT formation energy = -0.586 eV per atom
Relative energy among the computed polymorphs = 39 meV/atom
Magnetic moment = 0.00 Bohr magnetons per cell
Electronic total energy = -2.626 eV/atom
DOS at the Fermi energy = 0.213 states/eV/atom

Geometry as CIF:
```
data_Sr2CdBi
_chemical_formula_sum 'Sr8 Cd4 Bi4'
_cell_length_a 4.546
_cell_length_b 24.218
_cell_length_c 5.192
_cell_angle_alpha 90.00
_cell_angle_beta 90.00
_cell_angle_gamma 90.00
_space_group_name_H-M_alt 'C m c m'
_space_group_IT_number 63
_space_group_name_Hall '-C 2c 2'
loop_
_atom_site_label
_atom_site_type_symbol
_atom_site_fract_x
_atom_site_fract_y
_atom_site_fract_z
_atom_site_occupancy
Sr1 Sr 0.000 0.055 0.250 1
Sr2 Sr 0.000 0.190 0.750 1
Cd1 Cd 0.000 0.334 0.750 1
Bi1 Bi 0.000 0.426 0.250 1
```

Record 8
A plane-wave DFT calculation with PBE was carried out for a relaxed BaNaGa3 crystal.

DFT formation energy = 0.171 eV per atom
Relative energy among the computed polymorphs = 436 meV/atom
Magnetic moment = 0.00 Bohr magnetons per cell
Electronic total energy = -2.294 eV/atom
DOS at the Fermi energy = 0.783 states/eV/atom

Geometry as CIF:
```
data_BaNaGa3
_chemical_formula_sum 'Ba1 Na1 Ga3'
_cell_length_a 5.308
_cell_length_b 5.308
_cell_length_c 5.308
_cell_angle_alpha 90.00
_cell_angle_beta 90.00
_cell_angle_gamma 90.00
_space_group_name_H-M_alt 'P m -3 m'
_space_group_IT_number 221
_space_group_name_Hall '-P 4 2 3'
loop_
_atom_site_label
_atom_site_type_symbol
_atom_site_fract_x
_atom_site_fract_y
_atom_site_fract_z
_atom_site_occupancy
Ba1 Ba 0.000 0.000 0.000 1
Na1 Na 0.500 0.500 0.500 1
Ga1 Ga 0.000 0.500 0.500 1
```